This record from OQMD via LeMat-Bulk describes an optimized crystal structure of YPaPO. The functional is PBE-GGA.

The structure belongs to space group P4/nmm (No. 129, origin choice 2); the cell edges are 4.197, 4.197 and 9.071 Å and the angles 90.00°, 90.00° and 90.00°. The distinct sites, in fractional coordinates, are Y at (0.250, 0.250, 0.105), Pa at (0.250, 0.750, 0.500), P at (0.250, 0.250, 0.715) and O at (0.250, 0.750, 0.000).

For the total energy, the calculation gives -7.86 eV/atom. As for the energy above the most stable polymorph in this dataset: 149 meV per atom. The total magnetic moment comes out at 0.006 μB/atom.